Record 1
{"formula": "BaPuO2F", "functional": "PBE-GGA", "state": "optimized geometry", "lattice_angstrom": [[4.173, 0.000, 0.000], [0.000, 4.173, 0.000], [0.000, 0.000, 5.854]], "species": ["Ba", "Pu", "O", "O", "F"], "frac_coords": [[0.000, 0.000, 0.000], [0.500, 0.500, 0.410], [0.000, 0.500, 0.275], [0.500, 0.000, 0.275], [0.500, 0.500, 0.816]], "formation_energy_uncorrected_ev_per_atom": -3.033, "dft_energy_ev_per_cell": -43.207, "sg": "No. 99"}

---

Record 2
{"formula": "AlBS", "functional": "PBE-GGA", "state": "optimized geometry", "lattice_angstrom": [[3.983, 0.000, 0.000], [-1.624, 4.727, 0.000], [-1.424, -1.141, 5.080]], "species": ["Al", "Al", "B", "B", "S", "S"], "frac_coords": [[0.243, 0.164, 0.255], [0.757, 0.836, 0.745], [0.358, 0.036, 0.878], [0.642, 0.964, 0.122], [0.396, 0.691, 0.299], [0.604, 0.309, 0.701]], "formation_energy_uncorrected_ev_per_atom": -0.259, "dft_energy_ev_per_cell": -30.650, "sg": "No. 2", "de_polymorph_mev_per_atom": 119}

---

Record 3
{"formula": "RbYCuI5", "functional": "PBE-GGA", "state": "optimized geometry", "lattice_angstrom": [[5.059, -6.641, 0.000], [5.059, 6.641, 0.000], [-4.533, 0.000, 10.386]], "species": ["Rb", "Rb", "Y", "Y", "Cu", "Cu", "I", "I", "I", "I", "I", "I", "I", "I", "I", "I"], "frac_coords": [[0.141, 0.859, 0.750], [0.859, 0.141, 0.250], [0.500, 0.500, 0.000], [0.500, 0.500, 0.500], [0.190, 0.810, 0.250], [0.810, 0.190, 0.750], [0.117, 0.271, 0.933], [0.181, 0.591, 0.382], [0.271, 0.117, 0.433], [0.409, 0.819, 0.118], [0.417, 0.583, 0.750], [0.583, 0.417, 0.250], [0.591, 0.181, 0.882], [0.729, 0.883, 0.567], [0.819, 0.409, 0.618], [0.883, 0.729, 0.067]], "formation_energy_uncorrected_ev_per_atom": -1.086, "dft_energy_ev_per_cell": -55.940, "sg": "No. 15"}

---

Record 4
{"formula": "LiPrIn2Pd4", "functional": "PBE-GGA", "state": "optimized geometry", "lattice_angstrom": [[2.300, 1.328, 8.318], [-2.300, 1.328, 8.318], [0.000, -2.656, 8.318]], "species": ["Li", "Pr", "In", "In", "Pd", "Pd", "Pd", "Pd"], "frac_coords": [[0.000, 0.000, 0.000], [0.500, 0.500, 0.500], [0.261, 0.261, 0.261], [0.739, 0.739, 0.739], [0.102, 0.102, 0.102], [0.373, 0.373, 0.373], [0.627, 0.627, 0.627], [0.898, 0.898, 0.898]], "dft_energy_ev_per_cell": -38.006, "sg": "No. 166", "delta_e_f_ev_per_atom": -0.633}

---

Record 5
{"formula": "CaSm3H", "functional": "PBE-GGA", "state": "optimized geometry", "lattice_angstrom": [[5.152, 0.000, 0.000], [0.000, 5.152, 0.000], [0.000, 0.000, 5.152]], "species": ["Ca", "Sm", "Sm", "Sm", "H"], "frac_coords": [[0.000, 0.000, 0.000], [0.000, 0.500, 0.500], [0.500, 0.000, 0.500], [0.500, 0.500, 0.000], [0.500, 0.500, 0.500]], "dft_energy_ev_per_cell": -20.024, "sg": "No. 221"}

---

Record 6
{"formula": "TcGeHPd2", "functional": "PBE-GGA", "state": "optimized geometry", "lattice_angstrom": [[3.866, 0.000, 0.000], [0.000, 3.866, 0.000], [0.000, 0.000, 4.191]], "species": ["Tc", "Ge", "H", "Pd", "Pd"], "frac_coords": [[0.000, 0.000, 0.000], [0.500, 0.500, 0.000], [0.000, 0.000, 0.500], [0.000, 0.500, 0.500], [0.500, 0.000, 0.500]], "dft_energy_ev_per_cell": -28.962, "sg": "No. 123"}

---

Record 7
{"formula": "NaBeSn", "functional": "PBE-GGA", "state": "optimized geometry", "lattice_angstrom": [[4.503, 0.000, 0.000], [0.000, 4.005, 0.000], [-0.859, 0.000, 7.196]], "species": ["Na", "Na", "Be", "Be", "Sn", "Sn"], "frac_coords": [[0.226, 0.250, 0.358], [0.774, 0.750, 0.642], [0.130, 0.750, 0.010], [0.870, 0.250, 0.990], [0.324, 0.250, 0.828], [0.676, 0.750, 0.172]], "dft_energy_ev_per_cell": -17.922, "sg": "No. 11", "delta_e_f_ev_per_atom": 0.029, "de_polymorph_mev_per_atom": 0}

---

Record 8
{"formula": "KBiO2F", "functional": "PBE-GGA", "state": "optimized geometry", "lattice_angstrom": [[4.343, 0.000, 0.000], [0.000, 4.343, 0.000], [0.000, 0.000, 4.650]], "species": ["K", "Bi", "O", "O", "F"], "frac_coords": [[0.000, 0.000, 0.000], [0.500, 0.500, 0.500], [0.000, 0.500, 0.500], [0.500, 0.000, 0.500], [0.500, 0.500, 0.000]], "formation_energy_uncorrected_ev_per_atom": -1.589, "dft_energy_ev_per_cell": -24.712, "sg": "No. 123"}

---

Values for ρ, g/cm³, ordered as above
7.04; 2.43; 4.15; 8.75; 5.98; 10.19; 3.86; 5.66